No. 1
A geometry-optimized NdGeBIr2 structure. Source: Alexandria via LeMat-Bulk, functional PBE.

```
data_NdGeBIr2
_chemical_formula_sum 'Nd4 Ge4 B4 Ir8'
_cell_length_a 5.773
_cell_length_b 5.773
_cell_length_c 10.054
_cell_angle_alpha 90.00
_cell_angle_beta 90.00
_cell_angle_gamma 90.00
_symmetry_space_group_name_H-M 'I 4 c m'
_symmetry_Int_Tables_number 108
_symmetry_space_group_name_Hall 'I 4 -2c'
loop_
_atom_site_label
_atom_site_type_symbol
_atom_site_fract_x
_atom_site_fract_y
_atom_site_fract_z
_atom_site_occupancy
Nd1 Nd 0.000 0.000 0.000 1
Ge1 Ge 0.000 0.500 0.001 1
B1 B 0.000 0.000 0.250 1
Ir1 Ir 0.160 0.340 0.250 1
```

Results
Volume in Å³/atom: 16.8
Uncorrected energy in eV/cell: -141.44
Formation energy from the elements in eV/f.u.: -1.58


No. 2
A geometry-optimized Pm3Rh2Pb3 structure. Source: Alexandria via LeMat-Bulk, functional PBE.

```
data_Pm3Rh2Pb3
_chemical_formula_sum 'Pm12 Rh8 Pb12'
_cell_length_a 4.714
_cell_length_b 11.230
_cell_length_c 15.437
_cell_angle_alpha 90.00
_cell_angle_beta 90.00
_cell_angle_gamma 90.00
_symmetry_space_group_name_H-M 'C m c m'
_symmetry_Int_Tables_number 63
_symmetry_space_group_name_Hall '-C 2c 2'
loop_
_atom_site_label
_atom_site_type_symbol
_atom_site_fract_x
_atom_site_fract_y
_atom_site_fract_z
_atom_site_occupancy
Pm1 Pm 0.000 0.070 0.112 1
Pm2 Pm 0.000 0.345 0.250 1
Rh1 Rh 0.000 0.196 0.614 1
Pb1 Pb 0.000 0.362 0.750 1
Pb2 Pb 0.000 0.363 0.032 1
```

Results
Volume in Å³/atom: 25.5
Uncorrected energy in eV/cell: -178.76
Formation energy from the elements in eV/f.u.: -4.61


No. 3
A geometry-optimized Pm4Al2Tl structure. Source: Alexandria via LeMat-Bulk, functional PBE.

```
data_Pm4Al2Tl
_chemical_formula_sum 'Pm12 Al6 Tl3'
_cell_length_a 5.2685
_cell_length_b 5.2685
_cell_length_c 25.5464
_cell_angle_alpha 90.00
_cell_angle_beta 90.00
_cell_angle_gamma 120.00
_symmetry_space_group_name_H-M 'R -3 m'
_symmetry_Int_Tables_number 166
_symmetry_space_group_name_Hall '-R 3 2"'
loop_
_atom_site_label
_atom_site_type_symbol
_atom_site_fract_x
_atom_site_fract_y
_atom_site_fract_z
_atom_site_occupancy
Pm1 Pm 0.0000 0.0000 0.1159 1
Pm2 Pm 0.0000 0.0000 0.3691 1
Al1 Al 0.0000 0.0000 0.2480 1
Tl1 Tl 0.0000 0.0000 0.5000 1
```

Results
Volume in Å³/atom: 29.2
Uncorrected energy in eV/cell: -91.24
Formation energy from the elements in eV/f.u.: -1.56


No. 4
A geometry-optimized CaSc3Pt structure. Source: Alexandria via LeMat-Bulk, functional PBE.

```
data_CaSc3Pt
_chemical_formula_sum 'Ca1 Sc3 Pt1'
_cell_length_a 5.194
_cell_length_b 5.194
_cell_length_c 5.194
_cell_angle_alpha 90.00
_cell_angle_beta 90.00
_cell_angle_gamma 90.00
_symmetry_space_group_name_H-M 'P m -3 m'
_symmetry_Int_Tables_number 221
_symmetry_space_group_name_Hall '-P 4 2 3'
loop_
_atom_site_label
_atom_site_type_symbol
_atom_site_fract_x
_atom_site_fract_y
_atom_site_fract_z
_atom_site_occupancy
Ca1 Ca 0.000 0.000 0.000 1
Sc1 Sc 0.000 0.500 0.500 1
Pt1 Pt 0.500 0.500 0.500 1
```

Results
Volume in Å³/atom: 28.0
Uncorrected energy in eV/cell: -28.77
Formation energy from the elements in eV/f.u.: -1.73


No. 5
A geometry-optimized Tb3Nd8Dy4 structure. Source: Alexandria via LeMat-Bulk, functional PBE.

```
data_Tb3Nd8Dy4
_chemical_formula_sum 'Tb6 Nd16 Dy8'
_cell_length_a 13.609
_cell_length_b 12.882
_cell_length_c 6.876
_cell_angle_alpha 90.00
_cell_angle_beta 120.32
_cell_angle_gamma 90.00
_symmetry_space_group_name_H-M 'C 1 2/m 1'
_symmetry_Int_Tables_number 12
loop_
_symmetry_equiv_pos_as_xyz
'x,y,z'
'-x,-y,-z'
'-x,y,-z'
'x,-y,z'
'x+1/2,y+1/2,z'
'-x+1/2,-y+1/2,-z'
'-x+1/2,y+1/2,-z'
'x+1/2,-y+1/2,z'
loop_
_atom_site_label
_atom_site_type_symbol
_atom_site_fract_x
_atom_site_fract_y
_atom_site_fract_z
_atom_site_occupancy
Tb1 Tb 0.000 0.000 0.000 1
Tb2 Tb 0.250 0.250 0.500 1
Nd1 Nd 0.000 0.151 0.500 1
Nd2 Nd 0.000 0.250 0.000 1
Nd3 Nd 0.235 0.000 0.497 1
Nd4 Nd 0.235 0.000 0.968 1
Dy1 Dy 0.000 0.500 0.000 1
Dy2 Dy 0.000 0.500 0.500 1
Dy3 Dy 0.250 0.250 0.000 1
```

Results
Volume in Å³/atom: 34.7
Uncorrected energy in eV/cell: -129.81
Formation energy from the elements in eV/f.u.: 5.54


No. 6
A geometry-optimized BeZn2Ni structure. Source: Alexandria via LeMat-Bulk, functional PBE.

```
data_BeZn2Ni
_chemical_formula_sum 'Be1 Zn2 Ni1'
_cell_length_a 2.642
_cell_length_b 3.514
_cell_length_c 5.089
_cell_angle_alpha 90.00
_cell_angle_beta 90.00
_cell_angle_gamma 90.00
_symmetry_space_group_name_H-M 'P m m m'
_symmetry_Int_Tables_number 47
loop_
_symmetry_equiv_pos_as_xyz
'x,y,z'
'-x,-y,-z'
'-x,-y,z'
'x,y,-z'
'x,-y,-z'
'-x,y,z'
'-x,y,-z'
'x,-y,z'
loop_
_atom_site_label
_atom_site_type_symbol
_atom_site_fract_x
_atom_site_fract_y
_atom_site_fract_z
_atom_site_occupancy
Be1 Be 0.000 0.000 0.000 1
Zn1 Zn 0.500 0.500 0.250 1
Ni1 Ni 0.000 0.000 0.500 1
```

Results
Volume in Å³/atom: 11.8
Uncorrected energy in eV/cell: -12.20
Formation energy from the elements in eV/f.u.: -0.15


No. 7
A geometry-optimized La3PrDy2 structure. Source: Alexandria via LeMat-Bulk, functional PBE.

```
data_La3PrDy2
_chemical_formula_sum 'La6 Pr2 Dy4'
_cell_length_a 3.510
_cell_length_b 6.061
_cell_length_c 19.899
_cell_angle_alpha 90.00
_cell_angle_beta 90.00
_cell_angle_gamma 90.00
_symmetry_space_group_name_H-M 'I m m m'
_symmetry_Int_Tables_number 71
_symmetry_space_group_name_Hall '-I 2 2'
loop_
_atom_site_label
_atom_site_type_symbol
_atom_site_fract_x
_atom_site_fract_y
_atom_site_fract_z
_atom_site_occupancy
La1 La 0.000 0.000 0.000 1
La2 La 0.000 0.500 0.189 1
Pr1 Pr 0.000 0.500 0.000 1
Dy1 Dy 0.000 0.500 0.363 1
```

Results
Volume in Å³/atom: 35.3
Uncorrected energy in eV/cell: -54.07
Formation energy from the elements in eV/f.u.: 1.73


No. 8
A geometry-optimized MgReHg2 structure. Source: Alexandria via LeMat-Bulk, functional PBE.

```
data_MgReHg2
_chemical_formula_sum 'Mg2 Re2 Hg4'
_cell_length_a 5.963
_cell_length_b 8.401
_cell_length_c 2.945
_cell_angle_alpha 90.00
_cell_angle_beta 90.00
_cell_angle_gamma 90.00
_symmetry_space_group_name_H-M 'C m m m'
_symmetry_Int_Tables_number 65
_symmetry_space_group_name_Hall '-C 2 2'
loop_
_atom_site_label
_atom_site_type_symbol
_atom_site_fract_x
_atom_site_fract_y
_atom_site_fract_z
_atom_site_occupancy
Mg1 Mg 0.000 0.000 0.000 1
Re1 Re 0.000 0.500 0.000 1
Hg1 Hg 0.250 0.250 0.500 1
```

Results
Volume in Å³/atom: 18.4
Uncorrected energy in eV/cell: -25.14
Formation energy from the elements in eV/f.u.: 2.08


No. 9
A geometry-optimized Ca2AsBr structure. Source: Alexandria via LeMat-Bulk, functional PBE.

```
data_Ca2AsBr
_chemical_formula_sum 'Ca2 As1 Br1'
_cell_length_a 3.875
_cell_length_b 3.770
_cell_length_c 7.799
_cell_angle_alpha 90.00
_cell_angle_beta 90.08
_cell_angle_gamma 90.00
_symmetry_space_group_name_H-M 'P 1 2/m 1'
_symmetry_Int_Tables_number 10
loop_
_symmetry_equiv_pos_as_xyz
'x,y,z'
'-x,-y,-z'
'-x,y,-z'
'x,-y,z'
loop_
_atom_site_label
_atom_site_type_symbol
_atom_site_fract_x
_atom_site_fract_y
_atom_site_fract_z
_atom_site_occupancy
Ca1 Ca 0.002 0.000 0.196 1
As1 As 0.500 0.500 0.000 1
Br1 Br 0.000 0.500 0.500 1
```

Results
Uncorrected formation energy in kJ/mol of formula units: -515.4
Volume in Å³/atom: 28.5
Uncorrected energy in eV/cell: -15.67


No. 10
A geometry-optimized Tm3CdAu structure. Source: Alexandria via LeMat-Bulk, functional PBE.

```
data_Tm3CdAu
_chemical_formula_sum 'Tm12 Cd4 Au4'
_cell_length_a 9.797
_cell_length_b 15.912
_cell_length_c 3.655
_cell_angle_alpha 90.00
_cell_angle_beta 90.00
_cell_angle_gamma 90.00
_symmetry_space_group_name_H-M 'C m m m'
_symmetry_Int_Tables_number 65
_symmetry_space_group_name_Hall '-C 2 2'
loop_
_atom_site_label
_atom_site_type_symbol
_atom_site_fract_x
_atom_site_fract_y
_atom_site_fract_z
_atom_site_occupancy
Tm1 Tm 0.000 0.162 0.000 1
Tm2 Tm 0.198 0.389 0.500 1
Cd1 Cd 0.000 0.000 0.500 1
Cd2 Cd 0.000 0.500 0.000 1
Au1 Au 0.250 0.250 0.000 1
```

Results
Volume in Å³/atom: 28.5
Uncorrected energy in eV/cell: -76.05
Formation energy from the elements in eV/f.u.: -1.41


No. 11
A geometry-optimized Ni2AgMo structure. Source: Alexandria via LeMat-Bulk, functional PBE.

```
data_Ni2AgMo
_chemical_formula_sum 'Ni8 Ag4 Mo4'
_cell_length_a 6.021
_cell_length_b 6.021
_cell_length_c 6.021
_cell_angle_alpha 90.00
_cell_angle_beta 90.00
_cell_angle_gamma 90.00
_symmetry_space_group_name_H-M 'F m -3 m'
_symmetry_Int_Tables_number 225
_symmetry_space_group_name_Hall '-F 4 2 3'
loop_
_atom_site_label
_atom_site_type_symbol
_atom_site_fract_x
_atom_site_fract_y
_atom_site_fract_z
_atom_site_occupancy
Ni1 Ni 0.250 0.250 0.250 1
Ag1 Ag 0.000 0.000 0.000 1
Mo1 Mo 0.000 0.000 0.500 1
```

Results
Volume in Å³/atom: 13.6
Uncorrected energy in eV/cell: -96.31
Formation energy from the elements in eV/f.u.: 1.17


No. 12
A geometry-optimized Sr5C3 structure. Source: Alexandria via LeMat-Bulk, functional PBE.

```
data_Sr5C3
_chemical_formula_sum 'Sr10 C6'
_cell_length_a 7.633
_cell_length_b 12.307
_cell_length_c 4.289
_cell_angle_alpha 90.00
_cell_angle_beta 90.00
_cell_angle_gamma 90.00
_symmetry_space_group_name_H-M 'C m m m'
_symmetry_Int_Tables_number 65
_symmetry_space_group_name_Hall '-C 2 2'
loop_
_atom_site_label
_atom_site_type_symbol
_atom_site_fract_x
_atom_site_fract_y
_atom_site_fract_z
_atom_site_occupancy
Sr1 Sr 0.000 0.000 0.000 1
Sr2 Sr 0.199 0.500 0.500 1
Sr3 Sr 0.250 0.250 0.000 1
C1 C 0.000 0.141 0.500 1
C2 C 0.000 0.500 0.000 1
```

Results
Volume in Å³/atom: 25.2
Uncorrected energy in eV/cell: -57.59
Formation energy from the elements in eV/f.u.: 7.29